Entry 1:
A geometry-optimized AcCe2Sm3As6 structure. Source: Alexandria, functional PBE.

The structure in extended XYZ format:
```
12
Lattice="-3.615 -1.982 6.155 -3.428 -0.283 -6.561 4.514 -5.822 -0.711" Properties=species:S:1:pos:R:3 pbc="T T T"
Ce -3.553 -1.416 1.924
Ce -3.490 -0.848 -2.330
As 1.535 -4.933 -0.636
As -4.064 -3.153 -0.481
As -1.896 -6.315 1.360
As -0.697 -2.357 1.907
As -0.633 -1.771 -2.478
As -1.832 -5.729 -3.024
Sm -1.327 -4.613 3.707
Sm -1.264 -4.043 -0.559
Sm -1.202 -3.473 -4.824
Ac 0.000 0.000 0.000
```

Summary:
- Electronic total energy: -6.308 eV/atom
- Total magnetic moment: 1.31 Bohr magnetons per cell
- N(E_F): 0.977 states/eV per atom
- Space-group type: C2/m, No. 12
- Formation energy from the elements: -142.0 kJ/mol of atoms
- Calculated volume: 27.63 A^3/atom

=====

Entry 2:
A geometry-optimized SrAcCe2As4 structure. Source: Alexandria, functional PBE.

The structure in extended XYZ format:
```
8
Lattice="4.365 0.000 0.000 0.000 7.595 -0.170 0.000 2.652 7.065" Properties=species:S:1:pos:R:3 pbc="T T T"
Ac 0.000 5.124 3.447
As 4.365 2.394 1.800
As 2.182 3.734 5.305
As 2.182 6.513 1.590
As 0.000 7.854 5.094
Sr 2.182 6.450 6.980
Ce 0.000 2.652 7.065
Ce 2.182 1.326 3.532
```

Summary:
- Electronic total energy: -5.901 eV/atom
- Total magnetic moment: 0.97 Bohr magnetons per cell
- N(E_F): 0.987 states/eV per atom
- Space-group type: P2/m, No. 10
- Formation energy from the elements: -132.1 kJ/mol of atoms
- Calculated volume: 29.52 A^3/atom

=====

Entry 3:
A geometry-optimized SrAc2CeAs4 structure. Source: Alexandria, functional PBE.

The structure in extended XYZ format:
```
8
Lattice="-0.470 -2.695 3.525 -2.869 -5.457 -4.555 5.746 -4.411 -2.606" Properties=species:S:1:pos:R:3 pbc="T T T"
Ac 5.746 -4.411 -2.606
Ac 2.638 -3.553 0.460
As -0.811 -6.525 -2.273
As 2.112 -7.290 -5.291
As 3.218 -6.037 -1.362
As 0.295 -5.273 1.656
Sr -1.670 -4.076 -0.515
Ce 1.439 -4.934 -3.580
```

Summary:
- Electronic total energy: -5.651 eV/atom
- Total magnetic moment: 0.14 Bohr magnetons per cell
- N(E_F): 0.410 states/eV per atom
- Space-group type: P2/m, No. 10
- Formation energy from the elements: -130.0 kJ/mol of atoms
- Calculated volume: 31.07 A^3/atom

=====

Entry 4:
A geometry-optimized Sr3AcCe2As6 structure. Source: Alexandria, functional PBE.

The structure in extended XYZ format:
```
12
Lattice="7.645 -0.004 -0.003 -3.825 6.620 -0.003 -1.277 -2.212 7.186" Properties=species:S:1:pos:R:3 pbc="T T T"
As 0.063 0.110 5.554
As 3.885 2.079 5.555
As 2.480 4.294 1.625
As -0.141 4.404 5.555
As -1.342 2.325 1.625
As 2.684 -0.001 1.625
Ce -0.005 4.414 -0.003
Ce 3.826 2.202 -0.003
Sr -2.587 4.430 3.590
Sr 1.272 2.202 3.590
Sr 5.130 -0.027 3.590
Ac 0.000 0.000 0.000
```

Summary:
- Electronic total energy: -5.317 eV/atom
- Total magnetic moment: 0.00 Bohr magnetons per cell
- N(E_F): 1.284 states/eV per atom
- Space-group type: C2/m, No. 12
- Formation energy from the elements: -119.7 kJ/mol of atoms
- Calculated volume: 30.29 A^3/atom

=====

Question: Which of these has the lowest electronic total energy?
Answer: AcCe2Sm3As6

=====

Question: Which of these has the lowest electronic total energy?
Answer: AcCe2Sm3As6

=====

Question: What is the formula in the third record?
Answer: SrAc2CeAs4

=====

Question: What is the formula in the second record?
Answer: SrAcCe2As4